No. 1
The following is a DFT calculation (PBE-GGA) of a relaxed Y2Sb2Pb crystal.

```
Y2Sb2Pb
1.0
8.4678 0.0000 0.0000
0.0000 8.4678 0.0000
0.0000 0.0000 4.0673
Y Sb Pb
4 4 2
direct
0.1504 0.3496 0.0000 Y
0.3496 0.8496 0.0000 Y
0.6504 0.1504 0.0000 Y
0.8496 0.6504 0.0000 Y
0.1486 0.6486 0.5000 Sb
0.3514 0.1486 0.5000 Sb
0.6486 0.8514 0.5000 Sb
0.8514 0.3514 0.5000 Sb
0.0000 0.0000 0.5000 Pb
0.5000 0.5000 0.5000 Pb
```

Output
Its magnetization is 0.00 μB per formula unit. For the formation energy without anion corrections, the calculation gives -0.7244 eV per atom. The distance to the lowest polymorph of the same formula is 0.00 eV per formula unit. For the theoretical density, the calculation gives 7.157 g/cm3.

---

No. 2
The following is a DFT calculation (PBE-GGA) of a relaxed YSbPb crystal.

```
YSbPb
1.0
7.3837 0.0000 0.0000
0.0000 7.3837 0.0000
0.0000 0.0000 7.3837
Y Sb Pb
4 4 4
direct
0.0000 0.0000 0.0000 Y
0.0000 0.5000 0.5000 Y
0.5000 0.0000 0.5000 Y
0.5000 0.5000 0.0000 Y
0.2500 0.2500 0.7500 Sb
0.2500 0.7500 0.2500 Sb
0.7500 0.2500 0.2500 Sb
0.7500 0.7500 0.7500 Sb
0.0000 0.0000 0.5000 Pb
0.0000 0.5000 0.0000 Pb
0.5000 0.0000 0.0000 Pb
0.5000 0.5000 0.5000 Pb
```

Output
Its magnetization is 0.00 μB per formula unit. For the formation energy without anion corrections, the calculation gives -0.2551 eV per atom. The distance to the lowest polymorph of the same formula is 0.69 eV per formula unit. For the theoretical density, the calculation gives 6.895 g/cm3.

---

No. 3
The following is a DFT calculation (PBE-GGA) of a relaxed Y2SbPb crystal.

```
Y2SbPb
1.0
7.3641 0.0000 0.0000
0.0000 8.4329 0.0000
-0.8213 0.0000 3.6598
Y Sb Pb
4 2 2
direct
0.2500 0.2500 0.0000 Y
0.2500 0.7500 0.0000 Y
0.7500 0.2500 0.0000 Y
0.7500 0.7500 0.0000 Y
0.0000 0.0000 0.5000 Sb
0.5000 0.5000 0.5000 Sb
0.0000 0.5000 0.5000 Pb
0.5000 0.0000 0.5000 Pb
```

Output
Its magnetization is 0.00 μB per formula unit. For the formation energy without anion corrections, the calculation gives -0.6591 eV per atom. The distance to the lowest polymorph of the same formula is 0.73 eV per formula unit. For the theoretical density, the calculation gives 7.405 g/cm3.

---

No. 4
The following is a DFT calculation (PBE-GGA) of a relaxed Y2SbPb crystal.

```
Y2SbPb
1.0
4.0212 0.0000 0.0000
0.0000 4.0212 0.0000
0.0000 0.0000 6.8999
Y Sb Pb
2 1 1
direct
0.0000 0.0000 0.2416 Y
0.0000 0.0000 0.7584 Y
0.5000 0.5000 0.0000 Sb
0.5000 0.5000 0.5000 Pb
```

Output
Its magnetization is 0.00 μB per formula unit. For the formation energy without anion corrections, the calculation gives -0.6444 eV per atom. The distance to the lowest polymorph of the same formula is 0.79 eV per formula unit. For the theoretical density, the calculation gives 7.542 g/cm3.

---

No. 5
The following is a DFT calculation (PBE-GGA) of a relaxed Y2SbPb crystal.

```
Y2SbPb
1.0
7.6684 0.0000 0.0000
0.0000 7.6684 0.0000
0.0000 0.0000 7.6684
Y Sb Pb
8 4 4
direct
0.2500 0.2500 0.2500 Y
0.2500 0.2500 0.7500 Y
0.2500 0.7500 0.2500 Y
0.2500 0.7500 0.7500 Y
0.7500 0.2500 0.2500 Y
0.7500 0.2500 0.7500 Y
0.7500 0.7500 0.2500 Y
0.7500 0.7500 0.7500 Y
0.0000 0.0000 0.0000 Sb
0.0000 0.5000 0.5000 Sb
0.5000 0.0000 0.5000 Sb
0.5000 0.5000 0.0000 Sb
0.0000 0.0000 0.5000 Pb
0.0000 0.5000 0.0000 Pb
0.5000 0.0000 0.0000 Pb
0.5000 0.5000 0.5000 Pb
```

Output
Its magnetization is 0.00 μB per formula unit. For the formation energy without anion corrections, the calculation gives -0.5777 eV per atom. The distance to the lowest polymorph of the same formula is 1.06 eV per formula unit. For the theoretical density, the calculation gives 7.465 g/cm3.

---

No. 6
The following is a DFT calculation (PBE-GGA) of a relaxed Y2Sb2Pb crystal.

```
Y2Sb2Pb
1.0
4.2213 0.0000 0.0000
0.0000 4.2213 0.0000
0.0000 0.0000 16.7089
Y Sb Pb
4 4 2
direct
0.0000 0.0000 0.1067 Y
0.0000 0.0000 0.8933 Y
0.5000 0.5000 0.3933 Y
0.5000 0.5000 0.6067 Y
0.0000 0.5000 0.2500 Sb
0.0000 0.5000 0.7500 Sb
0.5000 0.0000 0.2500 Sb
0.5000 0.0000 0.7500 Sb
0.0000 0.0000 0.5000 Pb
0.5000 0.5000 0.0000 Pb
```

Output
Its magnetization is 0.00 μB per formula unit. For the formation energy without anion corrections, the calculation gives -0.5340 eV per atom. The distance to the lowest polymorph of the same formula is 0.95 eV per formula unit. For the theoretical density, the calculation gives 7.011 g/cm3.

---

No. 7
The following is a DFT calculation (PBE-GGA) of a relaxed YSb2Pb crystal.

```
YSb2Pb
1.0
4.1414 0.0000 0.0000
0.0000 5.2087 0.0000
0.0000 0.0000 5.2275
Y Sb Pb
1 2 1
direct
0.0000 0.0000 0.0000 Y
0.5000 0.0000 0.5000 Sb
0.5000 0.5000 0.0000 Sb
0.0000 0.5000 0.5000 Pb
```

Output
Its magnetization is 0.00 μB per formula unit. For the formation energy without anion corrections, the calculation gives -0.4134 eV per atom. For the theoretical density, the calculation gives 7.946 g/cm3.

---

No. 8
The following is a DFT calculation (PBE-GGA) of a relaxed YSb2Pb crystal.

```
YSb2Pb
1.0
3.4907 0.0000 0.0000
-1.7453 3.0230 0.0000
0.0000 0.0000 33.3885
Y Sb Pb
3 6 3
direct
0.0000 0.0000 0.0000 Y
0.3333 0.6667 0.6667 Y
0.6667 0.3333 0.3333 Y
0.0000 0.0000 0.2575 Sb
0.0000 0.0000 0.4945 Sb
0.3333 0.6667 0.1612 Sb
0.3333 0.6667 0.9241 Sb
0.6667 0.3333 0.5908 Sb
0.6667 0.3333 0.8279 Sb
0.0000 0.0000 0.7485 Pb
0.3333 0.6667 0.4151 Pb
0.6667 0.3333 0.0818 Pb
```

Output
Its magnetization is 0.00 μB per formula unit. For the formation energy without anion corrections, the calculation gives -0.0313 eV per atom. For the theoretical density, the calculation gives 7.630 g/cm3.

---

Question: What is the formula in the fifth record?
Answer: Y2SbPb

---

Question: Which of these has the highest theoretical density?
Answer: number 7

---

Question: Which of these has the lowest theoretical density?
Answer: YSbPb

---

Please write out number 2 again, unchanged.
The following is a DFT calculation (PBE-GGA) of a relaxed YSbPb crystal.

```
YSbPb
1.0
7.3837 0.0000 0.0000
0.0000 7.3837 0.0000
0.0000 0.0000 7.3837
Y Sb Pb
4 4 4
direct
0.0000 0.0000 0.0000 Y
0.0000 0.5000 0.5000 Y
0.5000 0.0000 0.5000 Y
0.5000 0.5000 0.0000 Y
0.2500 0.2500 0.7500 Sb
0.2500 0.7500 0.2500 Sb
0.7500 0.2500 0.2500 Sb
0.7500 0.7500 0.7500 Sb
0.0000 0.0000 0.5000 Pb
0.0000 0.5000 0.0000 Pb
0.5000 0.0000 0.0000 Pb
0.5000 0.5000 0.5000 Pb
```

Output
Its magnetization is 0.00 μB per formula unit. For the formation energy without anion corrections, the calculation gives -0.2551 eV per atom. The distance to the lowest polymorph of the same formula is 0.69 eV per formula unit. For the theoretical density, the calculation gives 6.895 g/cm3.